# 1
# Mo2As3P | the Alexandria database | GGA-PBEsol | optimized geometry
data_Mo2As3P
_chemical_formula_sum 'Mo2 As3 P1'
_cell_length_a 3.245
_cell_length_b 4.736
_cell_length_c 6.853
_cell_angle_alpha 80.01
_cell_angle_beta 76.31
_cell_angle_gamma 69.97
_symmetry_space_group_name_H-M 'P 1'
_symmetry_Int_Tables_number 1
loop_
_symmetry_equiv_pos_as_xyz
'x,y,z'
loop_
_atom_site_label
_atom_site_type_symbol
_atom_site_fract_x
_atom_site_fract_y
_atom_site_fract_z
Mo1 Mo 0.837 0.116 0.209
As1 As 0.399 0.311 0.891
As2 As 0.865 0.742 0.527
As3 As 0.594 0.704 0.108
Mo2 Mo 0.153 0.899 0.794
P1 P 0.151 0.227 0.471
# Space-group type ... No. 8
# Size of the total moment ... 0.00 Bohr magnetons per cell
# E_form ... -381 meV/atom
# DFT total energy ... -7.822 eV per atom


# 2
# MoAsP3 | the Alexandria database | GGA-PBEsol | optimized geometry
data_MoAsP3
_chemical_formula_sum 'Mo1 As1 P3'
_cell_length_a 4.620
_cell_length_b 4.620
_cell_length_c 4.620
_cell_angle_alpha 90.00
_cell_angle_beta 90.00
_cell_angle_gamma 90.00
_symmetry_space_group_name_H-M 'P 1'
_symmetry_Int_Tables_number 1
loop_
_symmetry_equiv_pos_as_xyz
'x,y,z'
loop_
_atom_site_label
_atom_site_type_symbol
_atom_site_fract_x
_atom_site_fract_y
_atom_site_fract_z
P1 P 0.000 0.500 0.000
P2 P 0.000 0.000 0.500
As1 As 0.500 0.500 0.500
Mo1 Mo 0.000 0.000 0.000
P3 P 0.500 0.000 0.000
# Space-group type ... No. 221
# Size of the total moment ... 0.10 Bohr magnetons per cell
# E_form ... 700 meV/atom
# DFT total energy ... -6.150 eV per atom


# 3
# Mo3AsP | the Alexandria database | GGA-PBEsol | optimized geometry
data_Mo3AsP
_chemical_formula_sum 'Mo3 As1 P1'
_cell_length_a 4.551
_cell_length_b 4.551
_cell_length_c 4.551
_cell_angle_alpha 90.00
_cell_angle_beta 90.00
_cell_angle_gamma 90.00
_symmetry_space_group_name_H-M 'P 1'
_symmetry_Int_Tables_number 1
loop_
_symmetry_equiv_pos_as_xyz
'x,y,z'
loop_
_atom_site_label
_atom_site_type_symbol
_atom_site_fract_x
_atom_site_fract_y
_atom_site_fract_z
Mo1 Mo 0.000 0.500 0.000
Mo2 Mo 0.500 0.000 0.000
P1 P 0.500 0.500 0.500
Mo3 Mo 0.000 0.000 0.500
As1 As 0.000 0.000 0.000
# Space-group type ... No. 221
# Size of the total moment ... 0.04 Bohr magnetons per cell
# E_form ... 1476 meV/atom
# DFT total energy ... -7.764 eV per atom


# 4
# MoAsPSe2 | the Alexandria database | GGA-PBEsol | optimized geometry
data_MoAsPSe2
_chemical_formula_sum 'Mo1 As1 P1 Se2'
_cell_length_a 4.680
_cell_length_b 4.646
_cell_length_c 4.646
_cell_angle_alpha 90.00
_cell_angle_beta 90.00
_cell_angle_gamma 90.00
_symmetry_space_group_name_H-M 'P 1'
_symmetry_Int_Tables_number 1
loop_
_symmetry_equiv_pos_as_xyz
'x,y,z'
loop_
_atom_site_label
_atom_site_type_symbol
_atom_site_fract_x
_atom_site_fract_y
_atom_site_fract_z
P1 P 0.000 0.000 0.000
Se1 Se 0.000 0.000 0.500
Se2 Se 0.000 0.500 0.000
Mo1 Mo 0.500 0.500 0.500
As1 As 0.500 0.000 0.000
# Space-group type ... No. 123
# Size of the total moment ... 2.57 Bohr magnetons per cell
# DFT total energy ... -5.099 eV per atom


Question: What is the formula in the fourth record?
Answer: MoAsPSe2


Question: Which of these has the lowest DFT total energy?
Answer: Mo2As3P


Copy entry 3 word for word.
# Mo3AsP | the Alexandria database | GGA-PBEsol | optimized geometry
data_Mo3AsP
_chemical_formula_sum 'Mo3 As1 P1'
_cell_length_a 4.551
_cell_length_b 4.551
_cell_length_c 4.551
_cell_angle_alpha 90.00
_cell_angle_beta 90.00
_cell_angle_gamma 90.00
_symmetry_space_group_name_H-M 'P 1'
_symmetry_Int_Tables_number 1
loop_
_symmetry_equiv_pos_as_xyz
'x,y,z'
loop_
_atom_site_label
_atom_site_type_symbol
_atom_site_fract_x
_atom_site_fract_y
_atom_site_fract_z
Mo1 Mo 0.000 0.500 0.000
Mo2 Mo 0.500 0.000 0.000
P1 P 0.500 0.500 0.500
Mo3 Mo 0.000 0.000 0.500
As1 As 0.000 0.000 0.000
# Space-group type ... No. 221
# Size of the total moment ... 0.04 Bohr magnetons per cell
# E_form ... 1476 meV/atom
# DFT total energy ... -7.764 eV per atom


Question: Among the records above, which one has the highest DFT total energy?
Answer: MoAsPSe2